1.
# MgIrPt2, relaxed, DFT PBE
# - Symmetry: No. 12
# - D(E_F): 0.896 states/eV per atom
# - Energy relative to the elements: -301.3 meV per atom
data_MgIrPt2
_cell_length_a 9.2006
_cell_length_b 2.8304
_cell_length_c 4.8261
_cell_angle_alpha 90.00
_cell_angle_beta 100.15
_cell_angle_gamma 90.00
_symmetry_space_group_name_H-M 'P 1'
_symmetry_Int_Tables_number 1
loop_
_symmetry_equiv_pos_as_xyz
'x,y,z'
loop_
_atom_site_label
_atom_site_fract_x
_atom_site_fract_y
_atom_site_fract_z
Mg1 0.0000 0.0000 0.0000
Mg2 0.5000 0.5000 0.0000
Ir1 0.0000 0.5000 0.5000
Ir2 0.5000 0.0000 0.5000
Pt1 0.2474 0.0000 0.7436
Pt2 0.2526 0.5000 0.2564
Pt3 0.7474 0.5000 0.7436
Pt4 0.7526 0.0000 0.2564

***

2.
# LiMg2Sc2, relaxed, DFT PBE
# - Symmetry: No. 127
# - Polymorph energy (0 for the lowest one): 0.187 eV/atom
# - D(E_F): 1.139 states/eV per atom
# - Energy relative to the elements: 153.5 meV per atom
data_LiMg2Sc2
_cell_length_a 6.9610
_cell_length_b 6.9610
_cell_length_c 4.8501
_cell_angle_alpha 90.00
_cell_angle_beta 90.00
_cell_angle_gamma 90.00
_symmetry_space_group_name_H-M 'P 1'
_symmetry_Int_Tables_number 1
loop_
_symmetry_equiv_pos_as_xyz
'x,y,z'
loop_
_atom_site_label
_atom_site_fract_x
_atom_site_fract_y
_atom_site_fract_z
Li1 0.0000 0.0000 0.0000
Li2 0.5000 0.5000 0.0000
Mg1 0.1418 0.3582 0.0000
Mg2 0.3582 0.8582 0.0000
Mg3 0.6418 0.1418 0.0000
Mg4 0.8582 0.6418 0.0000
Sc1 0.1644 0.6644 0.5000
Sc2 0.3356 0.1644 0.5000
Sc3 0.6644 0.8356 0.5000
Sc4 0.8356 0.3356 0.5000

***

3.
# Na2ZrPOs, relaxed, DFT PBE
# - Symmetry: No. 123
# - D(E_F): 0.532 states/eV per atom
# - Energy relative to the elements: 1099.9 meV per atom
data_Na2ZrPOs
_cell_length_a 5.2687
_cell_length_b 5.2687
_cell_length_c 4.8638
_cell_angle_alpha 90.00
_cell_angle_beta 90.00
_cell_angle_gamma 90.00
_symmetry_space_group_name_H-M 'P 1'
_symmetry_Int_Tables_number 1
loop_
_symmetry_equiv_pos_as_xyz
'x,y,z'
loop_
_atom_site_label
_atom_site_fract_x
_atom_site_fract_y
_atom_site_fract_z
Na1 0.0000 0.5000 0.0000
Na2 0.5000 0.0000 0.0000
Zr1 0.0000 0.0000 0.5000
P1 0.5000 0.5000 0.5000
Os1 0.0000 0.0000 0.0000

***

4.
# BaSrBr2, relaxed, DFT PBE
# - Symmetry: No. 123
# - Raw formation energy: -1352 meV per atom
# - Polymorph energy (0 for the lowest one): 0.148 eV/atom
# - D(E_F): 0.427 states/eV per atom
data_BaSrBr2
_cell_length_a 4.0672
_cell_length_b 4.0672
_cell_length_c 10.7899
_cell_angle_alpha 90.00
_cell_angle_beta 90.00
_cell_angle_gamma 90.00
_symmetry_space_group_name_H-M 'P 1'
_symmetry_Int_Tables_number 1
loop_
_symmetry_equiv_pos_as_xyz
'x,y,z'
loop_
_atom_site_label
_atom_site_fract_x
_atom_site_fract_y
_atom_site_fract_z
Ba1 0.0000 0.0000 0.0000
Sr1 0.0000 0.0000 0.5000
Br1 0.5000 0.5000 0.1682
Br2 0.5000 0.5000 0.8318